A relaxed NbWO5 crystal. Source: Alexandria via LeMat-Bulk, functional PBE with a Hubbard U.

extended XYZ file:
```
14
Lattice="4.305 -3.158 0.000 4.305 3.158 0.000 -3.202 0.000 6.655" Properties=species:S:1:pos:R:3 pbc="T T T"
Nb 1.904 3.020 4.992
Nb 3.504 -3.020 1.664
W 4.305 0.000 0.000
W 2.704 0.000 3.328
O 3.993 1.980 0.339
O 3.016 1.980 2.988
O 1.015 0.201 2.441
O -0.585 -0.201 5.769
O 1.904 0.878 4.992
O 3.504 -0.878 1.664
O 5.994 0.201 0.887
O 4.393 -0.201 4.214
O 2.392 -1.980 3.667
O 1.415 -1.980 6.316
```

Calculated values
Uncorrected energy   -0.304 Ha/atom
Space-group type   C2/c (15)
DOS at the Fermi energy   0.00 states/eV/cell